# Ca2MgTiAu

A relaxed structure of Ca2MgTiAu (PBEsol, Alexandria via LeMat-Bulk).

Calculated values
**Crystal system**: tetragonal
**Total energy**: -3.4775 eV per atom
**Formation energy**: 0.168 eV per atom
**DOS at the Fermi energy**: 6.5 states/eV/f.u.

a b c (Å): 5.5997 5.5997 4.9811
angles (deg): 90.00 90.00 90.00
With the nearest neighbours (Å) after each atom.
Atoms (fractional coordinates):
Ca 0.0000 0.5000 0.0000  2 Au 2.80
Ca 0.5000 0.0000 0.0000  2 Au 2.80
Mg 0.0000 0.0000 0.5000  8 Ca 3.75, 4 Ti 3.96
Ti 0.5000 0.5000 0.5000  2 Au 2.49
Au 0.5000 0.5000 0.0000  2 Ti 2.49



# Ca3MnAu

A relaxed structure of Ca3MnAu (PBEsol, Alexandria via LeMat-Bulk).

Calculated values
**Crystal system**: cubic
**Total energy**: -3.7810 eV per atom
**Formation energy**: 0.236 eV per atom
**DOS at the Fermi energy**: 4.5 states/eV/f.u.

a b c (Å): 5.5594 5.5594 5.5594
angles (deg): 90.00 90.00 90.00
With the nearest neighbours (Å) after each atom.
Atoms (fractional coordinates):
Ca 0.0000 0.0000 0.5000  2 Au 2.78
Ca 0.0000 0.5000 0.0000  2 Au 2.78
Ca 0.5000 0.0000 0.0000  2 Au 2.78
Mn 0.5000 0.5000 0.5000  12 Ca 3.93
Au 0.0000 0.0000 0.0000  6 Ca 2.78



# CaMnAu

A relaxed structure of CaMnAu (PBEsol, Alexandria via LeMat-Bulk).

Calculated values
**Crystal system**: cubic
**Total energy**: -4.6281 eV per atom
**Formation energy**: 0.645 eV per atom
**DOS at the Fermi energy**: 3.2 states/eV/f.u.

a b c (Å): 4.6889 4.6889 4.6889
angles (deg): 60.00 60.00 60.00
With the nearest neighbours (Å) after each atom.
Atoms (fractional coordinates):
Ca 0.0000 0.0000 0.0000  4 Mn 2.87, 4 Au 2.87
Mn 0.2500 0.2500 0.2500  4 Ca 2.87
Au 0.7500 0.7500 0.7500  4 Ca 2.87



# CaMnAu

A relaxed structure of CaMnAu (PBEsol, Alexandria via LeMat-Bulk).

Calculated values
**Crystal system**: tetragonal
**Total energy**: -5.2810 eV per atom
**Formation energy**: -0.008 eV per atom
**DOS at the Fermi energy**: 1.6 states/eV/f.u.

a b c (Å): 5.7673 5.7673 5.7673
angles (deg): 144.88 144.88 50.51
With the nearest neighbours (Å) after each atom.
Atoms (fractional coordinates):
Ca 0.0000 0.0000 0.0000  5 Mn 3.02-3.30, 5 Au 3.18-3.21
Mn 0.2898 0.2898 0.0000  4 Au 2.66
Au 0.6928 0.6928 0.0000  4 Mn 2.66



# CaMnPdAu2

A relaxed structure of CaMnPdAu2 (PBEsol, Alexandria via LeMat-Bulk).

Calculated values
**Crystal system**: tetragonal
**Total energy**: -4.4323 eV per atom
**Formation energy**: 0.708 eV per atom
**DOS at the Fermi energy**: 3.8 states/eV/f.u.

a b c (Å): 4.7316 4.7316 4.9792
angles (deg): 90.00 90.00 90.00
With the nearest neighbours (Å) after each atom.
Atoms (fractional coordinates):
Ca 0.0000 0.0000 0.0000  2 Mn 2.49
Mn 0.0000 0.0000 0.5000  4 Au 2.37, 2 Ca 2.49
Pd 0.5000 0.5000 0.0000  4 Ca 3.35, 8 Au 3.43
Au 0.0000 0.5000 0.5000  2 Mn 2.37
Au 0.5000 0.0000 0.5000  2 Mn 2.37



# CaMo2Au

A relaxed structure of CaMo2Au (PBEsol, Alexandria via LeMat-Bulk).

Calculated values
**Crystal system**: cubic
**Energy above the lowest structure with this stoichiometry**: 0.269 eV/atom
**Total energy**: -6.9340 eV per atom
**Formation energy**: 0.464 eV per atom
**DOS at the Fermi energy**: 3.4 states/eV/f.u.

a b c (Å): 4.6206 4.6206 4.6206
angles (deg): 60.00 60.00 60.00
With the nearest neighbours (Å) after each atom.
Atoms (fractional coordinates):
Ca 0.0000 0.0000 0.0000  4 Au 2.83, 4 Mo 2.83
Mo 0.2500 0.2500 0.2500  4 Mo 2.83, 4 Ca 2.83
Mo 0.5000 0.5000 0.5000  4 Au 2.83, 4 Mo 2.83
Au 0.7500 0.7500 0.7500  4 Mo 2.83, 4 Ca 2.83



# CaMo2Au

A relaxed structure of CaMo2Au (PBEsol, Alexandria via LeMat-Bulk).

Calculated values
**Crystal system**: monoclinic
**Energy above the lowest structure with this stoichiometry**: 0.296 eV/atom
**Total energy**: -6.9068 eV per atom
**Formation energy**: 0.491 eV per atom
**DOS at the Fermi energy**: 3.8 states/eV/f.u.

a b c (Å): 5.7297 5.7297 2.6796
angles (deg): 98.76 98.76 122.96
With the nearest neighbours (Å) after each atom.
Atoms (fractional coordinates):
Ca 0.0000 0.0000 0.0000  2 Ca 2.68, 2 Au 2.74, 4 Mo 2.97
Mo 0.0000 0.5000 0.5000  4 Mo 2.68-2.74, 2 Ca 2.97, 2 Au 2.97
Mo 0.5000 0.0000 0.5000  4 Mo 2.68-2.74, 2 Ca 2.97, 2 Au 2.97
Au 0.5000 0.5000 0.0000  2 Au 2.68, 2 Ca 2.74, 4 Mo 2.97



# Ca4MoAu

A relaxed structure of Ca4MoAu (PBEsol, Alexandria via LeMat-Bulk).

Calculated values
**Crystal system**: cubic
**Total energy**: -3.0720 eV per atom
**Formation energy**: 0.965 eV per atom
**DOS at the Fermi energy**: 6.5 states/eV/f.u.

a b c (Å): 6.1298 6.1298 6.1298
angles (deg): 60.00 60.00 60.00
With the nearest neighbours (Å) after each atom.
Atoms (fractional coordinates):
Ca 0.1251 0.1251 0.1251  6 Ca 3.06-3.07
Ca 0.1251 0.1251 0.6247  6 Ca 3.06-3.07
Ca 0.1251 0.6247 0.1251  6 Ca 3.06-3.07
Ca 0.6247 0.1251 0.1251  6 Ca 3.06-3.07
Mo 0.7500 0.7500 0.7500  12 Ca 3.59, 4 Au 3.75
Au 0.5000 0.5000 0.5000  12 Ca 3.59, 4 Mo 3.75



# CaMo2Au

A relaxed structure of CaMo2Au (PBEsol, Alexandria via LeMat-Bulk).

Calculated values
**Crystal system**: tetragonal
**Energy above the lowest structure with this stoichiometry**: 0.000 eV/atom
**Total energy**: -7.2025 eV per atom
**Formation energy**: 0.196 eV per atom
**DOS at the Fermi energy**: 4.8 states/eV/f.u.

a b c (Å): 3.2294 3.2294 7.2931
angles (deg): 90.00 90.00 90.00
With the nearest neighbours (Å) after each atom.
Atoms (fractional coordinates):
Ca 0.0000 0.0000 0.0000  4 Au 3.04, 4 Ca 3.23, 4 Mo 3.25
Mo 0.0000 0.0000 0.4780  4 Mo 2.57
Mo 0.5000 0.5000 0.3161  4 Mo 2.57
Au 0.5000 0.5000 0.7241  5 Mo 2.90-2.98, 4 Ca 3.04, 4 Au 3.23



# CaMoAu2

A relaxed structure of CaMoAu2 (PBEsol, Alexandria via LeMat-Bulk).

Calculated values
**Crystal system**: trigonal
**Energy above the lowest structure with this stoichiometry**: 0.284 eV/atom
**Total energy**: -5.1391 eV per atom
**Formation energy**: 0.298 eV per atom
**DOS at the Fermi energy**: 3.3 states/eV/f.u.

a b c (Å): 9.7306 9.7306 9.7306
angles (deg): 17.46 17.46 17.46
With the nearest neighbours (Å) after each atom.
Atoms (fractional coordinates):
Ca 0.0000 0.0000 0.0000  6 Ca 2.95, 6 Au 3.05
Mo 0.5000 0.5000 0.5000  6 Au 2.84, 6 Mo 2.95
Au 0.2455 0.2455 0.2455  3 Mo 2.84, 6 Au 2.95, 3 Ca 3.05
Au 0.7545 0.7545 0.7545  3 Mo 2.84, 6 Au 2.95, 3 Ca 3.05



# CaMoAu2

A relaxed structure of CaMoAu2 (PBEsol, Alexandria via LeMat-Bulk).

Calculated values
**Crystal system**: tetragonal
**Energy above the lowest structure with this stoichiometry**: 0.000 eV/atom
**Total energy**: -5.4235 eV per atom
**Formation energy**: 0.014 eV per atom
**DOS at the Fermi energy**: 3.1 states/eV/f.u.

a b c (Å): 4.9809 4.9809 2.9489
angles (deg): 90.00 90.00 90.00
With the nearest neighbours (Å) after each atom.
Atoms (fractional coordinates):
Ca 0.0000 0.0000 0.0000  8 Au 2.89, 2 Ca 2.95
Mo 0.5000 0.5000 0.0000  8 Au 2.89, 2 Mo 2.95
Au 0.0000 0.5000 0.5000  4 Mo 2.89, 4 Ca 2.89, 2 Au 2.95
Au 0.5000 0.0000 0.5000  4 Mo 2.89, 4 Ca 2.89, 2 Au 2.95



# CaNiMoAu2

A relaxed structure of CaNiMoAu2 (PBEsol, Alexandria via LeMat-Bulk).

Calculated values
**Crystal system**: tetragonal
**Total energy**: -3.9732 eV per atom
**Formation energy**: 1.608 eV per atom
**DOS at the Fermi energy**: 2.4 states/eV/f.u.

a b c (Å): 4.9877 4.9877 4.3657
angles (deg): 90.00 90.00 90.00
With the nearest neighbours (Å) after each atom.
Atoms (fractional coordinates):
Ca 0.0000 0.0000 0.0000  2 Ni 2.18
Ni 0.0000 0.0000 0.5000  2 Ca 2.18
Mo 0.5000 0.5000 0.5000  8 Au 3.31, 4 Ni 3.53
Au 0.0000 0.5000 0.0000  2 Ca 2.49
Au 0.5000 0.0000 0.0000  2 Ca 2.49



# Ca5Au2N4

A relaxed structure of Ca5Au2N4 (PBEsol, Alexandria via LeMat-Bulk).

Calculated values
**Crystal system**: tetragonal
**Total energy**: -5.5666 eV per atom
**DOS at the Fermi energy**: 1.1 states/eV/f.u.

a b c (Å): 7.9057 7.9057 12.9499
angles (deg): 90.00 90.00 90.00
With the nearest neighbours (Å) after each atom.
Atoms (fractional coordinates):
Ca 0.0756 0.6345 0.0857  4 N 2.36-2.55
Ca 0.0756 0.8655 0.5857  4 N 2.36-2.55
Ca 0.1345 0.5756 0.4143  4 N 2.36-2.55
Ca 0.1345 0.9244 0.9143  4 N 2.36-2.55
Ca 0.2500 0.2500 0.1324  4 N 2.58
Ca 0.2500 0.2500 0.6324  4 N 2.58
Ca 0.3655 0.5756 0.9143  4 N 2.36-2.55
Ca 0.3655 0.9244 0.4143  4 N 2.36-2.55
Ca 0.4244 0.6345 0.5857  4 N 2.36-2.55
Ca 0.4244 0.8655 0.0857  4 N 2.36-2.55
Ca 0.5756 0.1345 0.9143  4 N 2.36-2.55
Ca 0.5756 0.3655 0.4143  4 N 2.36-2.55
Ca 0.6345 0.0756 0.5857  4 N 2.36-2.55
Ca 0.6345 0.4244 0.0857  4 N 2.36-2.55
Ca 0.7500 0.7500 0.3676  4 N 2.58
Ca 0.7500 0.7500 0.8676  4 N 2.58
Ca 0.8655 0.0756 0.0857  4 N 2.36-2.55
Ca 0.8655 0.4244 0.5857  4 N 2.36-2.55
Ca 0.9244 0.1345 0.4143  4 N 2.36-2.55
Ca 0.9244 0.3655 0.9143  4 N 2.36-2.55
Au 0.0931 0.5931 0.7500  2 N 2.06
Au 0.0931 0.9069 0.2500  2 N 2.06
Au 0.4069 0.5931 0.2500  2 N 2.06
Au 0.4069 0.9069 0.7500  2 N 2.06
Au 0.5931 0.0931 0.2500  2 N 2.06
Au 0.5931 0.4069 0.7500  2 N 2.06
Au 0.9069 0.0931 0.7500  2 N 2.06
Au 0.9069 0.4069 0.2500  2 N 2.06
N 0.0503 0.6390 0.9044  1 Au 2.06
N 0.0503 0.8610 0.4044  1 Au 2.06
N 0.1390 0.5503 0.5956  1 Au 2.06
N 0.1390 0.9497 0.0956  1 Au 2.06
N 0.3610 0.5503 0.0956  1 Au 2.06
N 0.3610 0.9497 0.5956  1 Au 2.06
N 0.4497 0.6390 0.4044  1 Au 2.06
N 0.4497 0.8610 0.9044  1 Au 2.06
N 0.5503 0.1390 0.0956  1 Au 2.06
N 0.5503 0.3610 0.5956  1 Au 2.06
N 0.6390 0.0503 0.4044  1 Au 2.06
N 0.6390 0.4497 0.9044  1 Au 2.06
N 0.8610 0.0503 0.9044  1 Au 2.06
N 0.8610 0.4497 0.4044  1 Au 2.06
N 0.9497 0.1390 0.5956  1 Au 2.06
N 0.9497 0.3610 0.0956  1 Au 2.06